Record 1
Material: PmSm7Tm3
Method: DFT, PBE
State: relaxed

abc: 8.6223 7.1474 7.1474
angles: 120.00 90.00 90.00
Positions (direct):
Sm (0.1102, 0.1677, 0.3354)
Sm (0.4561, 0.3354, 0.1677)
Sm (0.1102, 0.6646, 0.8323)
Sm (0.1226, 0.6667, 0.3333)
Sm (0.1102, 0.1677, 0.8323)
Sm (0.4561, 0.8323, 0.1677)
Sm (0.4561, 0.8323, 0.6646)
Tm (0.7834, 0.5001, 0.4999)
Tm (0.7834, 0.5001, 0.0002)
Tm (0.7834, 0.9998, 0.4999)
Pm (0.4434, 0.3333, 0.6667)

Properties
**E_form**: 0.19 eV per atom
**Total DFT energy (no corrections)**: -49.1 eV per cell


Record 2
Material: Pm2Sm5Tm
Method: DFT, PBE
State: relaxed

abc: 5.0983 7.2352 14.4882
angles: 90.00 90.00 90.00
Positions (direct):
Sm (0.0000, 0.0000, 0.0000)
Sm (0.5000, 0.2506, 0.3756)
Sm (0.0000, 0.5000, 0.5000)
Sm (0.5000, 0.7494, 0.6244)
Sm (0.0000, 0.4990, 0.7511)
Sm (0.0000, 0.0010, 0.2511)
Sm (0.0000, 0.9990, 0.7489)
Sm (0.5000, 0.7506, 0.1244)
Sm (0.5000, 0.2494, 0.8756)
Sm (0.0000, 0.5010, 0.2489)
Pm (0.5000, 0.2510, 0.1243)
Pm (0.5000, 0.7490, 0.8757)
Pm (0.5000, 0.7510, 0.3757)
Pm (0.5000, 0.2490, 0.6243)
Tm (0.0000, 0.0000, 0.5000)
Tm (0.0000, 0.5000, 0.0000)

Properties
**E_form**: 0.02 eV per atom
**Total DFT energy (no corrections)**: -74.9 eV per cell


Record 3
Material: Pm6SmTm3
Method: DFT, PBE
State: relaxed

abc: 6.4276 11.7066 11.7066
angles: 130.65 90.00 90.00
Positions (direct):
Pm (0.0759, 0.3798, 0.2621)
Pm (0.8256, 0.5449, 0.1064)
Pm (0.3256, 0.1064, 0.5449)
Pm (0.3038, 0.9844, 0.0156)
Pm (0.2974, 0.6991, 0.3009)
Pm (0.8256, 0.8936, 0.4551)
Pm (0.0759, 0.7379, 0.6202)
Pm (0.7974, 0.3009, 0.6991)
Pm (0.8038, 0.0156, 0.9844)
Pm (0.5759, 0.2621, 0.3798)
Pm (0.3256, 0.4551, 0.8936)
Pm (0.5759, 0.6202, 0.7379)
Tm (0.4880, 0.9572, 0.7059)
Tm (0.9880, 0.0428, 0.2941)
Tm (0.0963, 0.4186, 0.5814)
Tm (0.9880, 0.7059, 0.9572)
Tm (0.4880, 0.2941, 0.0428)
Tm (0.5963, 0.5814, 0.4186)
Sm (0.0090, 0.1582, 0.8418)
Sm (0.5090, 0.8418, 0.1582)

Properties
**E_form**: 0.13 eV per atom
**Total DFT energy (no corrections)**: -90.7 eV per cell


Record 4
Material: PmSm7Tm12
Method: DFT, PBE
State: relaxed

abc: 9.6743 9.6743 9.6743
angles: 109.47 109.47 109.47
Positions (direct):
Sm (0.5000, 0.5000, 0.0000)
Sm (0.0000, 0.0000, 0.5000)
Sm (0.0000, 0.5000, 0.5000)
Sm (0.5000, 0.0000, 0.0000)
Sm (0.0000, 0.5000, 0.0000)
Sm (0.5000, 0.0000, 0.5000)
Sm (0.5000, 0.5000, 0.5000)
Tm (0.2505, 0.9996, 0.7491)
Tm (0.7491, 0.7495, 0.4985)
Tm (0.7495, 0.4985, 0.7491)
Tm (0.9996, 0.7491, 0.2505)
Tm (0.2505, 0.5015, 0.2509)
Tm (0.4985, 0.7491, 0.7495)
Tm (0.7491, 0.2505, 0.9996)
Tm (0.7495, 0.0004, 0.2509)
Tm (0.2509, 0.2505, 0.5015)
Tm (0.5015, 0.2509, 0.2505)
Tm (0.0004, 0.2509, 0.7495)
Tm (0.2509, 0.7495, 0.0004)
Pm (0.0000, 0.0000, 0.0000)

Properties
**E_form**: 0.68 eV per atom
**Total DFT energy (no corrections)**: -77.9 eV per cell